Record 1
An optimized crystal structure of LaAlSi. Source: Alexandria via LeMat-Bulk, functional PBE-GGA.

Structure (POSCAR):
```
LaAlSi
1.0
-3.4665 -2.5029 0.6059
2.5673 -3.4381 0.4857
0.7921 4.2495 6.6973
Si Al La
2 2 2
Direct
0.0805 0.0805 0.1610
0.9195 0.9195 0.8390
0.6642 0.1642 0.3284
0.8358 0.3358 0.6716
0.2500 0.7500 0.5000
0.5000 0.5000 0.0000
```

Summary:
DFT total energy ... -5.355 eV per atom
Space group ... I-4m2, No. 119


Record 2
An optimized crystal structure of La4AlSi3. Source: Alexandria via LeMat-Bulk, functional PBE-GGA.

Structure (POSCAR):
```
La4AlSi3
1.0
-2.4810 1.3325 3.5935
-3.2114 -1.9942 -1.4777
3.2088 -9.3886 5.6968
Si La Al
3 4 1
Direct
0.0000 0.5000 0.5681
0.0000 0.0000 0.4361
0.5000 0.0000 0.9286
0.5000 0.5000 0.3635
0.5000 0.0000 0.6401
0.0000 0.5000 0.8545
0.0000 0.0000 0.1452
0.5000 0.5000 0.0640
```

Summary:
DFT total energy ... -5.631 eV per atom
Space group ... Pmm2, No. 25


Record 3
An optimized crystal structure of La4Al3Si. Source: Alexandria via LeMat-Bulk, functional PBE-GGA.

Structure (POSCAR):
```
La4Al3Si
1.0
-2.3845 3.8205 0.8551
-3.4275 -2.3159 0.7892
3.0401 -0.6383 11.3294
Si Al La
1 3 4
Direct
0.5000 0.5000 0.0682
0.5000 0.0000 0.9393
0.0000 0.5000 0.5657
0.0000 0.0000 0.4306
0.5000 0.5000 0.3509
0.5000 0.0000 0.6437
0.0000 0.0000 0.1407
0.0000 0.5000 0.8609
```

Summary:
DFT total energy ... -5.017 eV per atom
Space group ... Pmm2, No. 25


Record 4
An optimized crystal structure of LaAl2Si. Source: Alexandria via LeMat-Bulk, functional PBE-GGA.

Structure (POSCAR):
```
LaAl2Si
1.0
-8.3606 4.6317 -0.2131
-9.2397 1.8347 -1.6306
-9.1923 2.0697 1.6171
Si Al La
1 2 1
Direct
0.7500 0.7500 0.7500
0.0166 0.0166 0.0166
0.4834 0.4834 0.4834
0.2500 0.2500 0.2500
```

Summary:
DFT total energy ... -4.347 eV per atom
Space group ... R-3m, No. 166


Record 5
An optimized crystal structure of La12AlSi5. Source: Alexandria via LeMat-Bulk, functional PBE-GGA.

Structure (POSCAR):
```
La12AlSi5
1.0
8.2718 0.0403 -3.2554
-4.2436 7.3695 -2.5893
-0.0979 -0.0403 8.8888
Si La Al
5 12 1
Direct
0.3786 0.3786 0.0000
0.5000 0.1123 0.6123
0.0000 0.0000 0.0000
0.6214 0.6214 0.0000
0.5000 0.8877 0.3877
0.0875 0.8217 0.2657
0.5560 0.8217 0.7343
0.4440 0.1783 0.2657
0.1987 0.4396 0.2408
0.7105 0.6777 0.3883
0.9125 0.1783 0.7343
0.1987 0.9579 0.7592
0.8013 0.5604 0.7592
0.7105 0.3223 0.0328
0.8013 0.0421 0.2408
0.2895 0.6777 0.9672
0.2895 0.3223 0.6117
0.0000 0.5000 0.5000
```

Summary:
DFT total energy ... -5.469 eV per atom
Space group ... Immm, No. 71


Record 6
An optimized crystal structure of LaAl2Si. Source: Alexandria via LeMat-Bulk, functional PBE-GGA.

Structure (POSCAR):
```
LaAl2Si
1.0
-1.1950 1.0978 4.4978
1.9104 -2.4517 1.1060
4.2746 3.4582 0.2916
Al Si La
2 1 1
Direct
0.0000 0.7503 0.9933
0.0000 0.7497 0.5067
0.5000 0.7500 0.7500
0.5000 0.2500 0.2500
```

Summary:
DFT total energy ... -4.627 eV per atom
Space group ... Pmmm, No. 47